Tm2Mo2C3 | PBEsol | optimized geometry

Values from the calculation:
Density ... 9.6 g/cm³
Energy of formation ... -0.4278 eV/atom

The structure in POSCAR format:
```
Tm2Mo2C3
1.0
3.3143 0.0000 0.0000
0.0000 5.5767 0.0024
-1.6572 -1.7911 5.2917
Mo Tm C
2 2 3
Direct
0.1484 0.3683 0.2969 Mo
0.8516 0.6317 0.7031 Mo
0.3848 0.1806 0.7697 Tm
0.6152 0.8194 0.2303 Tm
0.0000 0.5000 0.0000 C
0.7315 0.2554 0.4629 C
0.2685 0.7446 0.5371 C
```